No. 1
{"formula": "CsCeCdF6", "functional": "PBE", "state": "relaxed", "lattice": [[-4.829, 6.654, 2.841], [-4.726, -5.243, 4.247], [8.394, -0.112, 1.212]], "species": ["Cs", "Cs", "Ce", "Ce", "Cd", "Cd", "F", "F", "F", "F", "F", "F", "F", "F", "F", "F", "F", "F"], "fractional_positions": [[0.804, 0.554, 0.608], [0.196, 0.446, 0.392], [0.500, 0.000, 0.500], [0.000, 0.000, 0.500], [0.500, 0.500, 0.000], [0.500, 0.000, 0.000], [0.437, 0.687, 0.874], [0.822, 0.072, 0.643], [0.819, 0.094, 0.270], [0.451, 0.676, 0.270], [0.451, 0.094, 0.270], [0.819, 0.676, 0.270], [0.563, 0.313, 0.126], [0.178, 0.928, 0.357], [0.181, 0.906, 0.730], [0.549, 0.324, 0.730], [0.549, 0.906, 0.730], [0.181, 0.324, 0.730]], "e_form_raw_kcal_per_mol_atoms": -71.43, "dos_ef_per_ev_cell": 7.1}


No. 2
{"formula": "CsCeCdI6", "functional": "PBE", "state": "relaxed", "lattice": [[8.031, 0.000, 0.000], [-4.016, 6.955, 0.000], [0.000, 0.000, 17.155]], "species": ["Cs", "Cs", "Ce", "Ce", "Cd", "Cd", "I", "I", "I", "I", "I", "I", "I", "I", "I", "I", "I", "I"], "fractional_positions": [[0.000, 0.000, 0.000], [0.000, 0.000, 0.500], [0.333, 0.667, 0.250], [0.667, 0.333, 0.750], [0.667, 0.333, 0.250], [0.333, 0.667, 0.750], [0.630, 0.619, 0.145], [0.989, 0.370, 0.145], [0.370, 0.989, 0.645], [0.011, 0.630, 0.855], [0.381, 0.370, 0.355], [0.989, 0.619, 0.355], [0.619, 0.989, 0.855], [0.630, 0.011, 0.355], [0.011, 0.381, 0.645], [0.381, 0.011, 0.145], [0.619, 0.630, 0.645], [0.370, 0.381, 0.855]], "e_form_raw_kcal_per_mol_atoms": -26.08, "dos_ef_per_ev_cell": 19.5}


No. 3
{"formula": "Cs2CeCdI6", "functional": "PBE", "state": "relaxed", "lattice": [[8.970, 0.000, 0.000], [0.000, 8.957, 0.000], [0.000, 0.000, 12.667]], "species": ["Cs", "Cs", "Cs", "Cs", "Ce", "Ce", "Cd", "Cd", "I", "I", "I", "I", "I", "I", "I", "I", "I", "I", "I", "I"], "fractional_positions": [[0.500, 0.750, 0.244], [0.000, 0.250, 0.744], [0.500, 0.750, 0.756], [0.000, 0.250, 0.256], [0.000, 0.749, 0.500], [0.500, 0.251, 0.000], [0.500, 0.249, 0.500], [0.000, 0.751, 0.000], [0.500, 0.251, 0.247], [0.500, 0.251, 0.753], [0.000, 0.749, 0.253], [0.000, 0.749, 0.747], [0.246, 0.996, 0.500], [0.754, 0.996, 0.500], [0.245, 0.501, 0.500], [0.755, 0.501, 0.500], [0.745, 0.499, 0.000], [0.255, 0.499, 0.000], [0.254, 0.004, 0.000], [0.746, 0.004, 0.000]], "e_form_raw_kcal_per_mol_atoms": -27.40, "dos_ef_per_ev_cell": 14.2}


No. 4
{"formula": "CsCeCd2I8", "functional": "PBE", "state": "relaxed", "lattice": [[8.792, 0.000, 0.000], [-4.396, 7.614, 0.000], [0.000, 0.000, 10.399]], "species": ["Cs", "Ce", "Cd", "Cd", "I", "I", "I", "I", "I", "I", "I", "I"], "fractional_positions": [[0.000, 0.000, 0.500], [0.000, 0.000, 0.000], [0.333, 0.667, 0.701], [0.667, 0.333, 0.299], [0.160, 0.320, 0.812], [0.160, 0.840, 0.812], [0.680, 0.840, 0.812], [0.320, 0.160, 0.188], [0.667, 0.333, 0.558], [0.333, 0.667, 0.442], [0.840, 0.680, 0.188], [0.840, 0.160, 0.188]], "e_form_raw_kcal_per_mol_atoms": -21.27, "dos_ef_per_ev_cell": 8.6}


No. 5
{"formula": "Cs2CeCdO4", "functional": "PBE", "state": "relaxed", "lattice": [[3.612, 0.000, 0.000], [0.000, 6.278, -0.029], [0.000, -2.325, 6.865]], "species": ["Cs", "Cs", "Ce", "Cd", "O", "O", "O", "O"], "fractional_positions": [[0.500, 0.000, 0.500], [0.000, 0.500, 0.500], [0.500, 0.500, 0.000], [0.000, 0.000, 0.000], [0.500, 0.239, 0.160], [0.500, 0.761, 0.840], [0.000, 0.308, 0.822], [0.000, 0.692, 0.178]], "e_form_raw_kcal_per_mol_atoms": -44.76, "dos_ef_per_ev_cell": 0.0}


No. 6
{"formula": "Cs4Ce3CdS8", "functional": "PBE", "state": "relaxed", "lattice": [[8.422, 0.000, 0.000], [0.000, 9.375, 0.653], [-4.211, -4.201, 5.965]], "species": ["Cs", "Cs", "Cs", "Cs", "Ce", "Ce", "Ce", "Cd", "S", "S", "S", "S", "S", "S", "S", "S"], "fractional_positions": [[0.500, 0.000, 0.000], [0.500, 0.000, 0.500], [0.000, 0.000, 0.000], [0.000, 0.000, 0.500], [0.500, 0.500, 0.000], [0.500, 0.500, 0.500], [0.000, 0.500, 0.500], [0.000, 0.500, 0.000], [0.230, 0.683, 0.954], [0.230, 0.683, 0.460], [0.272, 0.315, 0.543], [0.724, 0.683, 0.954], [0.276, 0.317, 0.046], [0.728, 0.685, 0.457], [0.770, 0.317, 0.540], [0.770, 0.317, 0.046]], "e_form_raw_kcal_per_mol_atoms": -35.26, "dos_ef_per_ev_cell": 12.9}


No. 7
{"formula": "CsCeCdS4", "functional": "PBE", "state": "relaxed", "lattice": [[7.301, 0.000, -0.098], [0.000, 5.531, 0.000], [-2.983, 0.000, 9.799]], "species": ["Cs", "Cs", "Ce", "Ce", "Cd", "Cd", "S", "S", "S", "S", "S", "S", "S", "S"], "fractional_positions": [[0.753, 0.750, 0.971], [0.247, 0.250, 0.029], [0.732, 0.750, 0.442], [0.268, 0.250, 0.558], [0.255, 0.750, 0.318], [0.745, 0.250, 0.682], [0.025, 0.529, 0.684], [0.975, 0.029, 0.316], [0.975, 0.471, 0.316], [0.025, 0.971, 0.684], [0.480, 0.750, 0.184], [0.520, 0.250, 0.816], [0.435, 0.750, 0.574], [0.565, 0.250, 0.426]], "e_form_raw_kcal_per_mol_atoms": -25.93, "dos_ef_per_ev_cell": 5.9}


No. 8
{"formula": "Cs2CeCdS4", "functional": "PBE", "state": "relaxed", "lattice": [[-3.783, -4.227, 4.629], [4.335, -3.543, -4.718], [5.138, 4.236, 3.043]], "species": ["Cs", "Cs", "Ce", "Cd", "S", "S", "S", "S"], "fractional_positions": [[0.500, 0.750, 0.250], [0.000, 0.000, 0.000], [0.500, 0.250, 0.750], [0.000, 0.500, 0.500], [0.596, 0.371, 0.468], [0.097, 0.225, 0.629], [0.903, 0.532, 0.128], [0.404, 0.872, 0.775]], "e_form_raw_kcal_per_mol_atoms": -27.68}


No. 9
{"formula": "Cs3Ce2CdS6", "functional": "PBE", "state": "relaxed", "lattice": [[7.245, -0.005, 0.004], [-3.625, 6.273, 0.004], [-1.203, -2.083, 8.039]], "species": ["Cs", "Cs", "Cs", "Ce", "Ce", "Cd", "S", "S", "S", "S", "S", "S"], "fractional_positions": [[0.163, 0.837, 0.500], [0.837, 0.163, 0.500], [0.500, 0.500, 0.500], [0.333, 0.667, 0.000], [0.667, 0.333, 0.000], [0.000, 0.000, 0.000], [0.939, 0.600, 0.815], [0.723, 0.723, 0.182], [0.061, 0.400, 0.185], [0.600, 0.939, 0.815], [0.277, 0.277, 0.818], [0.400, 0.061, 0.185]], "e_form_raw_kcal_per_mol_atoms": -33.46, "dos_ef_per_ev_cell": 6.1}


No. 10
{"formula": "CsCeCdS3", "functional": "PBE", "state": "relaxed", "lattice": [[-0.760, 2.975, 3.005], [-6.830, -5.342, 3.561], [8.823, -2.454, 4.661]], "species": ["Cs", "Cs", "Ce", "Ce", "Cd", "Cd", "S", "S", "S", "S", "S", "S"], "fractional_positions": [[0.250, 0.213, 0.235], [0.750, 0.787, 0.765], [0.250, 0.668, 0.140], [0.750, 0.332, 0.860], [0.250, 0.087, 0.613], [0.750, 0.913, 0.387], [0.750, 0.873, 0.135], [0.250, 0.127, 0.865], [0.250, 0.799, 0.457], [0.750, 0.201, 0.543], [0.750, 0.470, 0.144], [0.250, 0.530, 0.856]], "e_form_raw_kcal_per_mol_atoms": -31.38, "dos_ef_per_ev_cell": 11.2}


No. 11
{"formula": "Cs2Ce2CdS6", "functional": "PBE", "state": "relaxed", "lattice": [[-2.407, 6.616, -0.989], [-4.123, -5.051, 2.835], [4.679, 1.588, 6.945]], "species": ["Cs", "Cs", "Ce", "Ce", "Cd", "S", "S", "S", "S", "S", "S"], "fractional_positions": [[0.840, 0.160, 0.000], [0.160, 0.840, 0.000], [0.334, 0.666, 0.500], [0.666, 0.334, 0.500], [0.000, 0.000, 0.500], [0.726, 0.726, 0.673], [0.053, 0.405, 0.680], [0.274, 0.274, 0.327], [0.405, 0.053, 0.680], [0.947, 0.595, 0.320], [0.595, 0.947, 0.320]], "e_form_raw_kcal_per_mol_atoms": -33.20}


No. 12
{"formula": "CsCeCdSe4", "functional": "PBE", "state": "relaxed", "lattice": [[7.598, 0.000, -0.069], [0.000, 5.854, 0.000], [-3.066, 0.000, 10.011]], "species": ["Cs", "Cs", "Ce", "Ce", "Cd", "Cd", "Se", "Se", "Se", "Se", "Se", "Se", "Se", "Se"], "fractional_positions": [[0.757, 0.750, 0.960], [0.243, 0.250, 0.040], [0.734, 0.750, 0.445], [0.266, 0.250, 0.555], [0.266, 0.750, 0.322], [0.734, 0.250, 0.678], [0.025, 0.518, 0.689], [0.975, 0.018, 0.311], [0.975, 0.482, 0.311], [0.025, 0.982, 0.689], [0.486, 0.750, 0.179], [0.514, 0.250, 0.821], [0.439, 0.750, 0.583], [0.561, 0.250, 0.417]], "e_form_raw_kcal_per_mol_atoms": -25.76, "dos_ef_per_ev_cell": 5.9}